## TiVS2 (SCAN)

Data for a crystal of TiVS2 relaxed with PBEsol.

```
data_TiVS2
_chemical_formula_sum 'Ti2 V2 S4'
_symmetry_space_group_name_H-M 'P m c 21'
_symmetry_Int_Tables_number 26
_symmetry_space_group_name_Hall 'P 2c -2'
_cell_length_a 3.255
_cell_length_b 5.793
_cell_length_c 5.877
_cell_angle_alpha 90.00
_cell_angle_beta 90.00
_cell_angle_gamma 90.00
loop_
_atom_site_label
_atom_site_fract_x
_atom_site_fract_y
_atom_site_fract_z
Ti1 0.000 0.055 0.000
V1 0.500 0.446 0.978
S1 0.000 0.336 0.711
S2 0.500 0.182 0.278
```

The calculation puts the magnetization at 0.0 Bohr magnetons per cell. The energy comes out at -14.500 eV per atom. Its energy relative to the elements, uncorrected is -1.31 eV/atom.